# CaCoO3, optimized geometry, DFT PBE+U
# Total energy   -0.1653 hartree per atom
# Size of the total moment   0.58 μB/atom
# Density of states at the Fermi level   1.27 states/eV per atom
data_CaCoO3
_symmetry_space_group_name_H-M 'P m -3 m'
_symmetry_Int_Tables_number 221
_symmetry_space_group_name_Hall '-P 4 2 3'
_cell_length_a 4.180
_cell_length_b 4.180
_cell_length_c 4.180
_cell_angle_alpha 90.00
_cell_angle_beta 90.00
_cell_angle_gamma 90.00
loop_
_atom_site_label
_atom_site_type_symbol
_atom_site_fract_x
_atom_site_fract_y
_atom_site_fract_z
Ca1 Ca 0.000 0.000 0.000
Co1 Co 0.500 0.500 0.500
O1 O 0.000 0.000 0.500